VASP calculation (PBE) on a relaxed Ga4IrPd2 crystal.

Cell and atoms, written as POSCAR:
```
Ga4IrPd2
1.0
3.063 0.000 0.000
0.000 6.164 -0.015
-1.531 -3.044 6.100
Ga Ir Pd
4 1 2
Direct
0.904 0.265 0.807 Ga
0.096 0.735 0.193 Ga
0.622 0.346 0.244 Ga
0.378 0.654 0.756 Ga
0.000 0.000 0.000 Ir
0.758 0.794 0.517 Pd
0.242 0.206 0.483 Pd
```

Calculated values
As for the symmetry: C2/m, No. 12. As for the formation energy: -0.405 eV/atom. For the mass density, the calculation gives 9.874 g/cm³.